[1]
This record from Alexandria via LeMat-Bulk describes a relaxed structure of PrThTi. The functional is PBE.

Structure (CIF):
```
data_PrThTi
_chemical_formula_sum 'Pr2 Th2 Ti2'
_cell_length_a 3.631
_cell_length_b 3.631
_cell_length_c 12.852
_cell_angle_alpha 90.00
_cell_angle_beta 90.00
_cell_angle_gamma 90.00
_space_group_name_H-M_alt 'P 4/n m m'
_space_group_IT_number 129
loop_
_space_group_symop_operation_xyz
'x,y,z'
'-x,-y,-z'
'-y+1/2,x,z'
'y+1/2,-x,-z'
'-x+1/2,-y+1/2,z'
'x+1/2,y+1/2,-z'
'y,-x+1/2,z'
'-y,x+1/2,-z'
'x+1/2,-y,-z'
'-x+1/2,y,z'
'-y,-x,-z'
'y,x,z'
'-x,y+1/2,-z'
'x,-y+1/2,z'
'y+1/2,x+1/2,-z'
'-y+1/2,-x+1/2,z'
loop_
_atom_site_label
_atom_site_type_symbol
_atom_site_fract_x
_atom_site_fract_y
_atom_site_fract_z
Pr1 Pr 0.250 0.250 0.110
Th1 Th 0.250 0.250 0.699
Ti1 Ti 0.250 0.250 0.453
```

Output
- crystal system = tetragonal
- magnetization (μB/f.u.) = 0.00
- D(E_F) (states/eV per cell) = 9.994
- total DFT energy (no corrections) (Ry/atom) = -0.4836


[2]
This record from Alexandria via LeMat-Bulk describes a relaxed structure of Pr2ThTi. The functional is PBE.

Structure (CIF):
```
data_Pr2ThTi
_chemical_formula_sum 'Pr6 Th3 Ti3'
_cell_length_a 3.4565
_cell_length_b 3.4565
_cell_length_c 35.9936
_cell_angle_alpha 90.00
_cell_angle_beta 90.00
_cell_angle_gamma 120.00
_space_group_name_H-M_alt 'R -3 m'
_space_group_IT_number 166
_space_group_name_Hall '-R 3 2"'
loop_
_atom_site_label
_atom_site_type_symbol
_atom_site_fract_x
_atom_site_fract_y
_atom_site_fract_z
Pr1 Pr 0.0000 0.0000 0.0841
Th1 Th 0.0000 0.0000 0.5000
Ti1 Ti 0.0000 0.0000 0.0000
```

Output
- crystal system = trigonal
- magnetization (μB/f.u.) = 2.01
- D(E_F) (states/eV per cell) = 15.254
- total DFT energy (no corrections) (Ry/atom) = -0.4227


[3]
This record from Alexandria via LeMat-Bulk describes a relaxed structure of PrTh4Tl5. The functional is PBE.

Structure (CIF):
```
data_PrTh4Tl5
_chemical_formula_sum 'Pr1 Th4 Tl5'
_cell_length_a 3.563
_cell_length_b 3.563
_cell_length_c 23.113
_cell_angle_alpha 90.00
_cell_angle_beta 90.00
_cell_angle_gamma 90.00
_space_group_name_H-M_alt 'P 4/m m m'
_space_group_IT_number 123
_space_group_name_Hall '-P 4 2'
loop_
_atom_site_label
_atom_site_type_symbol
_atom_site_fract_x
_atom_site_fract_y
_atom_site_fract_z
Pr1 Pr 0.000 0.000 0.000
Th1 Th 0.000 0.000 0.200
Th2 Th 0.000 0.000 0.400
Tl1 Tl 0.500 0.500 0.100
Tl2 Tl 0.500 0.500 0.300
Tl3 Tl 0.500 0.500 0.500
```

Output
- crystal system = tetragonal
- magnetization (μB/f.u.) = 0.00
- D(E_F) (states/eV per cell) = 12.722
- total DFT energy (no corrections) (Ry/atom) = -0.3542


[4]
This record from Alexandria via LeMat-Bulk describes a relaxed structure of Pr2ThTl. The functional is PBE.

Structure (CIF):
```
data_Pr2ThTl
_chemical_formula_sum 'Pr8 Th4 Tl4'
_cell_length_a 7.957
_cell_length_b 7.957
_cell_length_c 7.957
_cell_angle_alpha 90.00
_cell_angle_beta 90.00
_cell_angle_gamma 90.00
_space_group_name_H-M_alt 'F m -3 m'
_space_group_IT_number 225
_space_group_name_Hall '-F 4 2 3'
loop_
_atom_site_label
_atom_site_type_symbol
_atom_site_fract_x
_atom_site_fract_y
_atom_site_fract_z
Pr1 Pr 0.250 0.250 0.250
Th1 Th 0.000 0.000 0.000
Tl1 Tl 0.000 0.000 0.500
```

Output
- crystal system = cubic
- magnetization (μB/f.u.) = 0.00
- D(E_F) (states/eV per cell) = 26.836
- total DFT energy (no corrections) (Ry/atom) = -0.3530
- offset from the most stable computed form (meV/atom) = 208


[5]
This record from Alexandria via LeMat-Bulk describes a relaxed structure of Pr2ThTl. The functional is PBE.

Structure (CIF):
```
data_Pr2ThTl
_chemical_formula_sum 'Pr2 Th1 Tl1'
_cell_length_a 3.690
_cell_length_b 3.690
_cell_length_c 9.390
_cell_angle_alpha 90.00
_cell_angle_beta 90.00
_cell_angle_gamma 90.00
_space_group_name_H-M_alt 'P 4/m m m'
_space_group_IT_number 123
_space_group_name_Hall '-P 4 2'
loop_
_atom_site_label
_atom_site_type_symbol
_atom_site_fract_x
_atom_site_fract_y
_atom_site_fract_z
Pr1 Pr 0.000 0.000 0.238
Th1 Th 0.500 0.500 0.500
Tl1 Tl 0.500 0.500 0.000
```

Output
- crystal system = tetragonal
- magnetization (μB/f.u.) = 0.00
- D(E_F) (states/eV per cell) = 2.773
- total DFT energy (no corrections) (Ry/atom) = -0.3682
- offset from the most stable computed form (meV/atom) = 0


[6]
This record from Alexandria via LeMat-Bulk describes a relaxed structure of PrThTl. The functional is PBE.

Structure (CIF):
```
data_PrThTl
_chemical_formula_sum 'Pr1 Th1 Tl1'
_cell_length_a 5.4838
_cell_length_b 5.4838
_cell_length_c 3.6657
_cell_angle_alpha 90.00
_cell_angle_beta 90.00
_cell_angle_gamma 120.00
_space_group_name_H-M_alt 'P 3 m 1'
_space_group_IT_number 156
loop_
_space_group_symop_operation_xyz
'x,y,z'
'-y,x-y,z'
'-x+y,-x,z'
'-y,-x,z'
'-x+y,y,z'
'x,x-y,z'
loop_
_atom_site_label
_atom_site_type_symbol
_atom_site_fract_x
_atom_site_fract_y
_atom_site_fract_z
Pr1 Pr 0.0000 0.0000 0.0000
Th1 Th 0.6667 0.3333 0.4474
Tl1 Tl 0.3333 0.6667 0.7069
```

Output
- crystal system = trigonal
- magnetization (μB/f.u.) = 0.00
- D(E_F) (states/eV per cell) = 5.564
- total DFT energy (no corrections) (Ry/atom) = -0.3534
- offset from the most stable computed form (meV/atom) = 212